# 1
Compound: LiCuReSi2
Source: the Alexandria database
Functional: PBE-GGA
Structure: optimized geometry

## Properties
* V: 101.4 Å³/cell
* theoretical density: 5.125 Mg/m³
* energy: -5.0805 eV per atom
* offset from the most stable computed form: 0.000 eV per atom

Cell: 4.597 4.597 4.797 Å, 90.00 90.00 90.00°
Space group P4/mmm (No. 123)
One atom of each set of equivalent atoms:
Li 0.000 0.000 0.000
Cu 0.500 0.500 0.000
Re 0.000 0.000 0.500
Si 0.000 0.500 0.500

***

# 2
Compound: ZrTa2Hg
Source: the Alexandria database
Functional: PBE-GGA
Structure: optimized geometry

## Properties
* V: 79.6 Å³/cell
* theoretical density: 13.638 Mg/m³
* energy: -7.9997 eV per atom
* ΔE_f: 0.139 eV/atom

Cell: 2.909 2.909 9.405 Å, 90.00 90.00 90.00°
Space group P4mm (No. 99)
One atom of each set of equivalent atoms:
Zr 0.000 0.000 0.000
Ta 0.000 0.000 0.510
Ta 0.500 0.500 0.751
Hg 0.500 0.500 0.262

***

# 3
Compound: SmDy8Er2
Source: the Alexandria database
Functional: PBE-GGA
Structure: optimized geometry

## Properties
* V: 725.9 Å³/cell
* theoretical density: 8.166 Mg/m³
* energy: -4.4510 eV per atom
* offset from the most stable computed form: 0.039 eV per atom
* ΔE_f: 0.155 eV/atom

Cell: 19.042 6.905 5.528 Å, 90.00 92.95 90.00°
Space group C2/m (No. 12)
One atom of each set of equivalent atoms:
Sm 0.000 0.000 0.000
Dy 0.047 0.500 0.237
Dy 0.133 0.266 0.732
Dy 0.188 0.000 0.232
Er 0.216 0.500 0.251

***

# 4
Compound: CdTe2AsN
Source: the Alexandria database
Functional: PBE-GGA
Structure: optimized geometry

## Properties
* V: 120.3 Å³/cell
* theoretical density: 6.302 Mg/m³
* energy: -3.3714 eV per atom
* offset from the most stable computed form: 0.000 eV per atom

Cell: 5.753 5.753 3.635 Å, 90.00 90.00 90.00°
Space group P4/mmm (No. 123)
One atom of each set of equivalent atoms:
Cd 0.000 0.000 0.000
Te 0.000 0.500 0.500
As 0.500 0.500 0.500
N 0.500 0.500 0.000